1.
Al3SnS after structural relaxation, computed with PBE.

Cell lengths 4.7718, 4.7718, 4.7718 Å; angles 90.00, 90.00, 90.00 degrees
With the nearest neighbours (Å) after each atom.
Fractional coordinates of all 5 atoms:
Al  0.0000  0.0000  0.5000  2 S 2.39
Al  0.0000  0.5000  0.0000  2 S 2.39
Al  0.5000  0.0000  0.0000  2 S 2.39
Sn  0.5000  0.5000  0.5000  12 Al 3.37
S  0.0000  0.0000  0.0000  6 Al 2.39

Results
- ΔE to the lowest computed polymorph: 0 meV/atom
- Energy relative to the elements, uncorrected: 26 kJ per mole of atoms

***

2.
AlSnS2 after structural relaxation, computed with PBE.

Cell lengths 3.4936, 3.4936, 7.9987 Å; angles 90.00, 90.00, 120.00 degrees
With the nearest neighbours (Å) after each atom.
Fractional coordinates of all 4 atoms:
Al  0.0000  0.0000  0.0000  6 S 2.39-2.44
Sn  0.3333  0.6667  0.5032  1 S 2.60
S  0.3333  0.6667  0.8289  3 Al 2.44, 1 Sn 2.60
S  0.6667  0.3333  0.1601  3 Al 2.39

Results
- Energy relative to the elements, uncorrected: -69 kJ per mole of atoms

***

3.
Al2SnS after structural relaxation, computed with PBE.

Cell lengths 7.2264, 7.2264, 7.2264 Å; angles 132.24, 132.24, 69.85 degrees
With the nearest neighbours (Å) after each atom.
Fractional coordinates of all 8 atoms:
Al  0.0968  0.6250  0.9718  2 S 2.45, 2 Sn 2.64
Al  0.3750  0.3468  0.4718  2 S 2.45, 2 Sn 2.64
Al  0.6532  0.1250  0.0282  2 S 2.45, 2 Sn 2.64
Al  0.8750  0.9032  0.5282  2 S 2.45, 2 Sn 2.64
Sn  0.2500  0.7500  0.5000  4 Al 2.64
Sn  0.5000  0.5000  0.0000  4 Al 2.64
S  0.0000  0.0000  0.0000  4 Al 2.45
S  0.7500  0.2500  0.5000  4 Al 2.45

Results
- ΔE to the lowest computed polymorph: 0 meV/atom
- Energy relative to the elements, uncorrected: -26 kJ per mole of atoms

***

4.
AlSnS2 after structural relaxation, computed with PBE.

Cell lengths 4.7752, 4.7752, 3.3804 Å; angles 90.00, 90.00, 90.00 degrees
With the nearest neighbours (Å) after each atom.
Fractional coordinates of all 4 atoms:
Al  0.0000  0.0000  0.0000  8 S 2.93
Sn  0.5000  0.5000  0.0000  8 S 2.93
S  0.0000  0.5000  0.5000  4 Sn 2.93, 4 Al 2.93
S  0.5000  0.0000  0.5000  4 Sn 2.93, 4 Al 2.93

Results
- Energy relative to the elements, uncorrected: -6 kJ per mole of atoms

***

5.
AlSnS2 after structural relaxation, computed with PBE.

Cell lengths 3.6009, 3.6009, 8.9044 Å; angles 90.00, 90.00, 120.00 degrees
With the nearest neighbours (Å) after each atom.
Fractional coordinates of all 4 atoms:
Al  0.0000  0.0000  0.0000  4 S 2.20-2.32
Sn  0.6667  0.3333  0.4541  3 S 2.78
S  0.0000  0.0000  0.2472  1 Al 2.20
S  0.3333  0.6667  0.8840  3 Al 2.32

Results
- Energy relative to the elements, uncorrected: -59 kJ per mole of atoms

***

6.
AlSn2S4 after structural relaxation, computed with PBE.

Cell lengths 6.6600, 6.6600, 13.4278 Å; angles 90.00, 90.00, 149.07 degrees
With the nearest neighbours (Å) after each atom.
Fractional coordinates of all 14 atoms:
Al  0.1288  0.8712  0.7500  6 S 2.44-2.60
Al  0.8712  0.1288  0.2500  6 S 2.44-2.60
Sn  0.3700  0.6300  0.5773  5 S 2.65-2.85
Sn  0.3700  0.6300  0.9227  5 S 2.65-2.85
Sn  0.6300  0.3700  0.0773  5 S 2.65-2.85
Sn  0.6300  0.3700  0.4227  5 S 2.65-2.85
S  0.0000  0.0000  0.0000  4 Sn 2.65
S  0.0000  0.0000  0.5000  4 Sn 2.65
S  0.2889  0.7111  0.1323  2 Al 2.60, 2 Sn 2.80
S  0.2889  0.7111  0.3677  2 Al 2.60, 2 Sn 2.80
S  0.4984  0.5016  0.7500  2 Al 2.44
S  0.5016  0.4984  0.2500  2 Al 2.44
S  0.7111  0.2889  0.6323  2 Al 2.60, 2 Sn 2.80
S  0.7111  0.2889  0.8677  2 Al 2.60, 2 Sn 2.80

Results
- Energy relative to the elements, uncorrected: -39 kJ per mole of atoms

***

7.
AlSnS2 after structural relaxation, computed with PBE.

Cell lengths 3.4903, 3.4903, 7.9746 Å; angles 103.08, 103.08, 60.12 degrees
With the nearest neighbours (Å) after each atom.
Fractional coordinates of all 4 atoms:
Al  0.0000  0.0000  0.0000  6 S 2.38-2.44
Sn  0.0000  0.0000  0.5000  4 S 3.06
S  0.3864  0.3864  0.1742  3 Al 2.38-2.44
S  0.6136  0.6136  0.8258  3 Al 2.38-2.44

Results
- Energy relative to the elements, uncorrected: -67 kJ per mole of atoms

***

8.
AlSnS4 after structural relaxation, computed with PBE.

Cell lengths 5.5319, 3.6299, 6.3610 Å; angles 90.00, 98.72, 90.00 degrees
With the nearest neighbours (Å) after each atom.
Fractional coordinates of all 6 atoms:
Al  0.0000  0.0000  0.0000  6 S 2.40-2.47
Sn  0.0000  0.5000  0.5000  6 S 2.57-2.60
S  0.2490  0.0000  0.3440  1 Al 2.40, 2 Sn 2.57
S  0.2503  0.5000  0.8802  2 Al 2.47, 1 Sn 2.60
S  0.7497  0.5000  0.1198  2 Al 2.47, 1 Sn 2.60
S  0.7510  0.0000  0.6560  1 Al 2.40, 2 Sn 2.57

Results
- Energy relative to the elements, uncorrected: -45 kJ per mole of atoms

***

Repeat the eighth record exactly.
AlSnS4 after structural relaxation, computed with PBE.

Cell lengths 5.5319, 3.6299, 6.3610 Å; angles 90.00, 98.72, 90.00 degrees
With the nearest neighbours (Å) after each atom.
Fractional coordinates of all 6 atoms:
Al  0.0000  0.0000  0.0000  6 S 2.40-2.47
Sn  0.0000  0.5000  0.5000  6 S 2.57-2.60
S  0.2490  0.0000  0.3440  1 Al 2.40, 2 Sn 2.57
S  0.2503  0.5000  0.8802  2 Al 2.47, 1 Sn 2.60
S  0.7497  0.5000  0.1198  2 Al 2.47, 1 Sn 2.60
S  0.7510  0.0000  0.6560  1 Al 2.40, 2 Sn 2.57

Results
- Energy relative to the elements, uncorrected: -45 kJ per mole of atoms

***

- What is the formula in the first record?
  Al3SnS

***

- Among the records above, which one has the highest energy relative to the elements, uncorrected?
  Al3SnS